SrCoMo2: optimized geometry, GGA-PBE.

Uncorrected energy, eV/atom: -6.655

The structure in POSCAR format:
```
SrCoMo2
1.0
6.539 0.000 0.000
0.000 6.539 0.000
0.000 0.000 6.539
Sr Co Mo
4 4 8
Direct
0.000 0.000 0.000
0.000 0.500 0.500
0.500 0.000 0.500
0.500 0.500 0.000
0.250 0.250 0.250
0.250 0.750 0.750
0.750 0.250 0.750
0.750 0.750 0.250
0.000 0.000 0.500
0.000 0.500 0.000
0.250 0.250 0.750
0.250 0.750 0.250
0.500 0.000 0.000
0.500 0.500 0.500
0.750 0.250 0.250
0.750 0.750 0.750
```

***

SrCoMo: optimized geometry, GGA-PBE.

Energy above the most stable polymorph in this dataset, eV per formula unit: 0.000

The structure in POSCAR format:
```
SrCoMo
1.0
6.364 0.000 0.000
0.000 6.364 0.000
0.000 0.000 6.364
Sr Co Mo
4 4 4
Direct
0.000 0.000 0.000
0.000 0.500 0.500
0.500 0.000 0.500
0.500 0.500 0.000
0.250 0.250 0.750
0.250 0.750 0.250
0.750 0.250 0.250
0.750 0.750 0.750
0.000 0.000 0.500
0.000 0.500 0.000
0.500 0.000 0.000
0.500 0.500 0.500
```

***

Ta2CoMo: optimized geometry, GGA-PBE.

Formation energy, eV/f.u.: 0.37

The structure in POSCAR format:
```
Ta2CoMo
1.0
6.310 0.000 0.000
0.000 6.310 0.000
0.000 0.000 6.310
Ta Co Mo
8 4 4
Direct
0.000 0.000 0.000
0.000 0.500 0.500
0.250 0.250 0.250
0.250 0.750 0.750
0.500 0.000 0.500
0.500 0.500 0.000
0.750 0.250 0.750
0.750 0.750 0.250
0.000 0.000 0.500
0.000 0.500 0.000
0.500 0.000 0.000
0.500 0.500 0.500
0.250 0.250 0.750
0.250 0.750 0.250
0.750 0.250 0.250
0.750 0.750 0.750
```

***

TaCo2Mo: optimized geometry, GGA-PBE.

Formation energy, eV/f.u.: 0.56

The structure in POSCAR format:
```
TaCo2Mo
1.0
6.028 0.000 0.000
0.000 6.028 0.000
0.000 0.000 6.028
Ta Co Mo
4 8 4
Direct
0.000 0.000 0.000
0.000 0.500 0.500
0.500 0.000 0.500
0.500 0.500 0.000
0.000 0.000 0.500
0.000 0.500 0.000
0.250 0.250 0.750
0.250 0.750 0.250
0.500 0.000 0.000
0.500 0.500 0.500
0.750 0.250 0.250
0.750 0.750 0.750
0.250 0.250 0.250
0.250 0.750 0.750
0.750 0.250 0.750
0.750 0.750 0.250
```

***

TaCoMo2: optimized geometry, GGA-PBE.

Formation energy, eV/f.u.: 0.11

The structure in POSCAR format:
```
TaCoMo2
1.0
6.242 0.000 0.000
0.000 6.242 0.000
0.000 0.000 6.242
Ta Co Mo
4 4 8
Direct
0.000 0.000 0.000
0.000 0.500 0.500
0.500 0.000 0.500
0.500 0.500 0.000
0.250 0.250 0.250
0.250 0.750 0.750
0.750 0.250 0.750
0.750 0.750 0.250
0.000 0.000 0.500
0.000 0.500 0.000
0.250 0.250 0.750
0.250 0.750 0.250
0.500 0.000 0.000
0.500 0.500 0.500
0.750 0.250 0.250
0.750 0.750 0.750
```

***

TaTlCoMo: optimized geometry, GGA-PBE.

Energy above the most stable polymorph in this dataset, eV per formula unit: 0.000

The structure in POSCAR format:
```
TaTlCoMo
1.0
6.429 0.000 0.000
0.000 6.429 0.000
0.000 0.000 6.429
Ta Tl Co Mo
4 4 4 4
Direct
0.000 0.000 0.000
0.000 0.500 0.500
0.500 0.000 0.500
0.500 0.500 0.000
0.000 0.000 0.500
0.000 0.500 0.000
0.500 0.000 0.000
0.500 0.500 0.500
0.250 0.250 0.750
0.250 0.750 0.250
0.750 0.250 0.250
0.750 0.750 0.750
0.250 0.250 0.250
0.250 0.750 0.750
0.750 0.250 0.750
0.750 0.750 0.250
```

***

CoTc2Mo: optimized geometry, GGA-PBE.

Formation energy, eV/f.u.: 0.95
Energy above the most stable polymorph in this dataset, eV per formula unit: 0.000

The structure in POSCAR format:
```
CoTc2Mo
1.0
6.086 0.000 0.000
0.000 6.086 0.000
0.000 0.000 6.086
Co Tc Mo
4 8 4
Direct
0.000 0.000 0.000
0.000 0.500 0.500
0.500 0.000 0.500
0.500 0.500 0.000
0.000 0.000 0.500
0.000 0.500 0.000
0.250 0.250 0.250
0.250 0.750 0.750
0.500 0.000 0.000
0.500 0.500 0.500
0.750 0.250 0.750
0.750 0.750 0.250
0.250 0.250 0.750
0.250 0.750 0.250
0.750 0.250 0.250
0.750 0.750 0.750
```

***

CoTcMo2: optimized geometry, GGA-PBE.

Formation energy, eV/f.u.: 0.82

The structure in POSCAR format:
```
CoTcMo2
1.0
6.124 0.000 0.000
0.000 6.124 0.000
0.000 0.000 6.124
Co Tc Mo
4 4 8
Direct
0.000 0.000 0.000
0.000 0.500 0.500
0.500 0.000 0.500
0.500 0.500 0.000
0.250 0.250 0.750
0.250 0.750 0.250
0.750 0.250 0.250
0.750 0.750 0.750
0.000 0.000 0.500
0.000 0.500 0.000
0.250 0.250 0.250
0.250 0.750 0.750
0.500 0.000 0.000
0.500 0.500 0.500
0.750 0.250 0.750
0.750 0.750 0.250
```